Entry 1:
Material: Sr4TlMo
Method: DFT, PBEsol
State: relaxed

Cell lengths 9.550, 9.550, 9.550 Å; angles 90.00, 90.00, 90.00 degrees
Space group F-43m (No. 216)
One atom of each set of equivalent atoms:
Sr (0.125, 0.125, 0.125) (multiplicity 16)
Tl (0.000, 0.000, 0.500) (multiplicity 4)
Mo (0.250, 0.250, 0.750) (multiplicity 4)

**Mass density**: 4.96 g cm⁻³

=====

Entry 2:
Material: Sr2MoW
Method: DFT, PBEsol
State: relaxed

Cell lengths 3.505, 5.649, 10.678 Å; angles 90.00, 90.00, 90.00 degrees
Space group Imm2 (No. 44)
One atom of each set of equivalent atoms:
Sr (0.000, 0.000, 0.000) (multiplicity 2)
Sr (0.000, 0.500, 0.206) (multiplicity 2)
Mo (0.000, 0.500, 0.778) (multiplicity 2)
W (0.000, 0.000, 0.428) (multiplicity 2)

**Mass density**: 7.15 g cm⁻³
**E above lowest polymorph**: 0 meV per atom

=====

no.,density of states at the Fermi level (states/eV per cell),spin magnetization (μB per cell),calculated formation energy (eV/atom)
1,26.0,13.911,1.042
2,5.3,0.000,0.848